No. 1
Material: Ce2Sn5
Method: DFT, PBE
State: relaxed

a b c (Å): 4.5888 34.9498 4.6463
angles (deg): 90.00 90.00 90.00
Closest atoms and distances in Å follow each position.
Space group Cmmm (No. 65)
One atom of each set of equivalent atoms:
Ce1 0.0000 0.0685 0.0000  12 Sn 3.27-3.38
Ce2 0.0000 0.2034 0.0000  10 Sn 3.23-3.54
Sn1 0.0000 0.0000 0.5000  8 Sn 3.27-3.37, 4 Ce 3.34
Sn2 0.0000 0.1387 0.5000  4 Ce 3.24-3.38, 6 Sn 3.27-3.30
Sn3 0.0000 0.2799 0.5000  2 Sn 3.10, 4 Ce 3.32
Sn4 0.0000 0.3618 0.0000  4 Ce 3.23-3.35, 6 Sn 3.27-3.31
Sn5 0.0000 0.4292 0.5000  4 Ce 3.27, 8 Sn 3.30-3.39
Sn6 0.0000 0.5000 0.0000  8 Sn 3.27-3.39, 4 Ce 3.32

Summary:
M_tot = 0.85 μB per formula unit
DFT formation energy = -388 kJ/mol of formula units
V = 745.2 Å³ per cell
total energy = -5.129 eV per atom


No. 2
Material: CeSn4
Method: DFT, PBE
State: relaxed

a b c (Å): 4.6368 6.5268 17.9877
angles (deg): 90.00 90.00 90.00
Closest atoms and distances in Å follow each position.
Space group Imma (No. 74)
One atom of each set of equivalent atoms:
Ce1 0.0000 0.2500 0.0944  11 Sn 3.26-3.42
Sn1 0.0000 0.0000 0.5000  8 Sn 3.26-3.48, 4 Ce 3.31
Sn2 0.0000 0.0144 0.6935  5 Sn 3.07-3.29, 2 Ce 3.40
Sn3 0.0000 0.2500 0.9043  3 Ce 3.26-3.42, 8 Sn 3.29-3.32

Summary:
energy above the most stable polymorph in this dataset = 0.000 eV per atom
M_tot = 0.75 μB per formula unit
DFT formation energy = -174 kJ/mol of formula units
V = 544.4 Å³ per cell
total energy = -4.750 eV per atom


No. 3
Material: Ce3Sn
Method: DFT, PBE
State: relaxed

a b c (Å): 3.3320 5.4818 5.8462
angles (deg): 90.00 90.00 90.00
Closest atoms and distances in Å follow each position.
Space group Pmm2 (No. 25)
One atom of each set of equivalent atoms:
Ce1 0.0000 0.0000 0.0000  8 Ce 3.21-3.57, 4 Sn 3.29
Ce2 0.0000 0.5000 0.3904  4 Sn 3.30-3.42, 8 Ce 3.31-3.57
Ce3 0.5000 0.0000 0.5302  10 Ce 3.21-3.52, 2 Sn 3.41
Sn1 0.5000 0.5000 0.8786  10 Ce 3.29-3.42, 2 Sn 3.33

Summary:
M_tot = 1.35 μB per formula unit
DFT formation energy = -119 kJ/mol of formula units
V = 106.8 Å³ per cell
total energy = -5.759 eV per atom


No. 4
Material: Ce8Sn
Method: DFT, PBE
State: relaxed

a b c (Å): 10.2031 10.2031 4.5334
angles (deg): 90.00 90.00 90.00
Closest atoms and distances in Å follow each position.
Space group I4/mmm (No. 139)
One atom of each set of equivalent atoms:
Ce1 0.0000 0.3272 0.0000  11 Ce 3.27-3.53, 1 Sn 3.34
Ce2 0.1698 0.1698 0.5000  10 Ce 3.24-3.47, 2 Sn 3.34
Sn1 0.0000 0.0000 0.0000  12 Ce 3.34

Summary:
M_tot = 0.00 μB per formula unit
DFT formation energy = -96 kJ/mol of formula units
V = 471.9 Å³ per cell
total energy = -5.830 eV per atom


No. 5
Material: Ce4Sn
Method: DFT, PBE
State: relaxed

a b c (Å): 4.9929 6.6551 16.1767
angles (deg): 90.00 90.00 90.00
Closest atoms and distances in Å follow each position.
Space group Imma (No. 74)
One atom of each set of equivalent atoms:
Ce1 0.0000 0.0000 0.0000  8 Ce 3.32-3.40, 4 Sn 3.46
Ce2 0.0000 0.0170 0.2050  3 Ce 2.89-3.10
Ce3 0.0000 0.2500 0.5986  3 Sn 3.31-3.33, 10 Ce 3.40-3.64
Sn1 0.0000 0.2500 0.3939  13 Ce 3.31-3.46

Summary:
energy above the most stable polymorph in this dataset = 0.000 eV per atom
M_tot = 3.03 μB per formula unit
DFT formation energy = -129 kJ/mol of formula units
V = 537.5 Å³ per cell
total energy = -5.814 eV per atom


No. 6
Material: CeSn2
Method: DFT, PBE
State: relaxed

a b c (Å): 4.5198 15.6090 4.6211
angles (deg): 90.00 90.00 90.00
Closest atoms and distances in Å follow each position.
Space group Cmmm (No. 65)
One atom of each set of equivalent atoms:
Ce1 0.0000 0.1460 0.0000  10 Sn 3.21-3.56
Sn1 0.0000 0.0000 0.5000  8 Sn 3.23-3.61, 4 Ce 3.25
Sn2 0.0000 0.3197 0.5000  2 Sn 3.14, 4 Ce 3.28
Sn3 0.0000 0.5000 0.0000  4 Ce 3.21, 4 Sn 3.23

Summary:
M_tot = 0.50 μB per formula unit
DFT formation energy = -173 kJ/mol of formula units
V = 326.0 Å³ per cell
total energy = -5.244 eV per atom